Entry 1:
Here is crystalline MgZnCd2 at its relaxed geometry from Alexandria. Energies are from PBE.

abc: 3.178 3.178 8.089
angles: 90.00 90.00 90.00
Element x y z (fractional)
Mg 0.000 0.000 0.000
Zn 0.000 0.000 0.500
Cd 0.500 0.500 0.266
Cd 0.500 0.500 0.734

## Properties
* formation enthalpy at 0 K: 0.00 eV per atom
* offset from the most stable computed form: 23 meV per atom

Entry 2:
Here is crystalline BaHg2H2 at its relaxed geometry from Alexandria. Energies are from PBE.

abc: 4.025 4.025 13.501
angles: 90.00 90.00 90.00
Element x y z (fractional)
Ba 0.000 0.000 0.000
Ba 0.500 0.500 0.500
Hg 0.000 0.500 0.250
Hg 0.000 0.500 0.750
Hg 0.500 0.000 0.250
Hg 0.500 0.000 0.750
H 0.000 0.000 0.421
H 0.000 0.000 0.579
H 0.500 0.500 0.079
H 0.500 0.500 0.921

## Properties
* offset from the most stable computed form: 92 meV per atom

Entry 3:
Here is crystalline Tb2DyY6Th at its relaxed geometry from Alexandria. Energies are from PBE.

abc: 8.807 8.807 9.485
angles: 93.43 93.43 116.66
Element x y z (fractional)
Tb 0.199 0.299 0.054
Tb 0.299 0.199 0.554
Tb 0.701 0.801 0.446
Tb 0.801 0.701 0.946
Dy 0.410 0.590 0.750
Dy 0.590 0.410 0.250
Y 0.013 0.571 0.185
Y 0.119 0.762 0.558
Y 0.238 0.881 0.942
Y 0.292 0.516 0.388
Y 0.429 0.987 0.315
Y 0.484 0.708 0.112
Y 0.516 0.292 0.888
Y 0.571 0.013 0.685
Y 0.708 0.484 0.612
Y 0.762 0.119 0.058
Y 0.881 0.238 0.442
Y 0.987 0.429 0.815
Th 0.031 0.969 0.250
Th 0.969 0.031 0.750

## Properties
* formation enthalpy at 0 K: 0.15 eV per atom

Entry 4:
Here is crystalline Ca2LaSmSe4 at its relaxed geometry from Alexandria. Energies are from PBE.

abc: 7.270 4.198 7.397
angles: 90.00 109.10 90.00
Element x y z (fractional)
Ca 0.000 0.000 0.000
Ca 0.500 0.500 0.000
La 0.000 0.500 0.500
Sm 0.500 0.000 0.500
Se 0.253 0.500 0.245
Se 0.258 0.000 0.758
Se 0.742 0.000 0.242
Se 0.747 0.500 0.755

## Properties
* ΔE_f (raw): -1.93 eV per atom

Entry 5:
Here is crystalline Ta2AgW at its relaxed geometry from Alexandria. Energies are from PBE.

abc: 2.758 4.424 5.807
angles: 90.00 90.00 90.00
Element x y z (fractional)
Ta 0.000 0.000 0.000
Ta 0.500 0.500 0.258
Ag 0.500 0.500 0.751
W 0.000 0.000 0.487

## Properties
* formation enthalpy at 0 K: 0.40 eV per atom
* offset from the most stable computed form: 296 meV per atom

Entry 6:
Here is crystalline CeSmPuSc at its relaxed geometry from Alexandria. Energies are from PBE.

abc: 7.696 7.696 7.696
angles: 90.00 90.00 90.00
Element x y z (fractional)
Ce 0.000 0.000 0.000
Ce 0.000 0.500 0.500
Ce 0.500 0.000 0.500
Ce 0.500 0.500 0.000
Sm 0.000 0.000 0.500
Sm 0.000 0.500 0.000
Sm 0.500 0.000 0.000
Sm 0.500 0.500 0.500
Pu 0.250 0.250 0.250
Pu 0.250 0.750 0.750
Pu 0.750 0.250 0.750
Pu 0.750 0.750 0.250
Sc 0.250 0.250 0.750
Sc 0.250 0.750 0.250
Sc 0.750 0.250 0.250
Sc 0.750 0.750 0.750

## Properties
* formation enthalpy at 0 K: 0.18 eV per atom

Entry 7:
Here is crystalline Hg4PbS5 at its relaxed geometry from Alexandria. Energies are from PBE.

abc: 6.901 6.901 6.901
angles: 102.66 102.66 124.18
Element x y z (fractional)
Hg 0.105 0.297 0.402
Hg 0.297 0.895 0.192
Hg 0.703 0.105 0.808
Hg 0.895 0.703 0.598
Pb 0.480 0.480 0.000
S 0.092 0.522 0.798
S 0.294 0.092 0.570
S 0.522 0.724 0.430
S 0.724 0.294 0.202
S 0.907 0.907 0.000

## Properties
* ΔE_f (raw): -0.09 eV per atom

Entry 8:
Here is crystalline MgTlW at its relaxed geometry from Alexandria. Energies are from PBE.

abc: 6.572 6.572 6.572
angles: 90.00 90.00 90.00
Element x y z (fractional)
Mg 0.000 0.000 0.000
Mg 0.000 0.500 0.500
Mg 0.500 0.000 0.500
Mg 0.500 0.500 0.000
Tl 0.250 0.250 0.250
Tl 0.250 0.750 0.750
Tl 0.750 0.250 0.750
Tl 0.750 0.750 0.250
W 0.000 0.000 0.500
W 0.000 0.500 0.000
W 0.500 0.000 0.000
W 0.500 0.500 0.500

## Properties
* formation enthalpy at 0 K: 1.31 eV per atom
* offset from the most stable computed form: 686 meV per atom

What did we get for size of the total moment? Answer: 0.00 0.00 0.00 0.00 0.00 8.28 0.00 2.48 μB/f.u., in the order shown.
What did we get for density? Answer: 6.39 8.21 6.33 5.33 15.32 8.44 8.09 9.65 g/cm³, in the order shown.